(1)
Computed, not measured: crystalline LiCrFe at its relaxed geometry at the GGA-PBE level of DFT.

Values from the calculation:
Formation energy from the elements: 0.147 eV/atom
Electronic total energy: -6.52 eV/atom
Polymorph energy (0 for the lowest one): 0.000 eV/atom

Lattice parameters (Å, degrees): 2.475 2.475 12.832 89.15 89.33 71.17
Sites, in units of the cell vectors:
Li 0.765 0.776 0.100
Li 0.235 0.224 0.900
Fe 0.741 0.735 0.731
Fe 0.259 0.265 0.269
Cr 0.753 0.755 0.423
Cr 0.247 0.245 0.577



(2)
Computed, not measured: crystalline Ti2Zn2Sn at its relaxed geometry at the GGA-PBE level of DFT.

Values from the calculation:
Formation energy from the elements: 0.050 eV/atom
Electronic total energy: -4.42 eV/atom

Lattice parameters (Å, degrees): 7.151 7.151 3.619 90.00 90.00 90.00
Sites, in units of the cell vectors:
Ti 0.865 0.635 0.000
Ti 0.365 0.865 0.000
Ti 0.635 0.135 0.000
Ti 0.135 0.365 0.000
Sn 0.500 0.500 0.000
Sn 0.000 0.000 0.000
Zn 0.161 0.661 0.500
Zn 0.339 0.161 0.500
Zn 0.839 0.339 0.500
Zn 0.661 0.839 0.500



(3)
Computed, not measured: crystalline TmTi3C at its relaxed geometry at the GGA-PBE level of DFT.

Values from the calculation:
Formation energy from the elements: -0.124 eV/atom
Electronic total energy: -7.60 eV/atom

Lattice parameters (Å, degrees): 4.370 4.370 4.370 90.00 90.00 90.00
Sites, in units of the cell vectors:
Ti 0.000 0.000 0.500
Ti 0.500 0.000 0.000
Ti 0.000 0.500 0.000
Tm 0.500 0.500 0.500
C 0.000 0.000 0.000



(4)
Computed, not measured: crystalline Na2UVTe4 at its relaxed geometry at the GGA-PBE level of DFT.

Values from the calculation:
Raw formation energy: -0.671 eV per atom
Electronic total energy: -5.12 eV/atom

Lattice parameters (Å, degrees): 4.320 7.218 8.011 108.33 90.00 90.00
Sites, in units of the cell vectors:
Te 0.500 0.219 0.213
Te 0.000 0.238 0.771
Te 0.000 0.762 0.229
Te 0.500 0.781 0.787
Na 0.000 0.500 0.500
Na 0.500 0.000 0.500
V 0.000 0.000 0.000
U 0.500 0.500 0.000



(5)
Computed, not measured: crystalline TlTe2 at its relaxed geometry at the GGA-PBE level of DFT.

Values from the calculation:
Raw formation energy: 0.118 eV per atom
Electronic total energy: -2.76 eV/atom
Polymorph energy (0 for the lowest one): 0.257 eV/atom

Lattice parameters (Å, degrees): 5.717 5.717 6.472 90.00 90.00 120.00
Sites, in units of the cell vectors:
Te 0.000 0.000 0.000
Te 0.000 0.000 0.500
Te 0.333 0.667 0.250
Te 0.667 0.333 0.750
Tl 0.667 0.333 0.250
Tl 0.333 0.667 0.750



(6)
Computed, not measured: crystalline La2Ag2P at its relaxed geometry at the GGA-PBE level of DFT.

Values from the calculation:
Formation energy from the elements: -0.521 eV/atom
Electronic total energy: -4.71 eV/atom
Polymorph energy (0 for the lowest one): 0.000 eV/atom

Lattice parameters (Å, degrees): 3.803 3.803 9.092 77.93 77.93 90.00
Sites, in units of the cell vectors:
Ag 0.250 0.750 0.500
Ag 0.750 0.250 0.500
P 0.000 0.000 0.000
La 0.594 0.594 0.812
La 0.406 0.406 0.188



(7)
Computed, not measured: crystalline YSc2Tl2 at its relaxed geometry at the GGA-PBE level of DFT.

Values from the calculation:
Formation energy from the elements: -0.254 eV/atom
Electronic total energy: -5.03 eV/atom
Polymorph energy (0 for the lowest one): 0.000 eV/atom

Lattice parameters (Å, degrees): 8.632 8.632 3.466 90.00 90.00 90.00
Sites, in units of the cell vectors:
Tl 0.162 0.338 0.000
Tl 0.838 0.662 0.000
Tl 0.338 0.838 0.000
Tl 0.662 0.162 0.000
Sc 0.639 0.861 0.500
Sc 0.361 0.139 0.500
Sc 0.139 0.639 0.500
Sc 0.861 0.361 0.500
Y 0.500 0.500 0.000
Y 0.000 0.000 0.000



(8)
Computed, not measured: crystalline Li2TmAu8 at its relaxed geometry at the GGA-PBE level of DFT.

Values from the calculation:
Formation energy from the elements: -0.481 eV/atom
Electronic total energy: -3.62 eV/atom
Polymorph energy (0 for the lowest one): 0.000 eV/atom

Lattice parameters (Å, degrees): 4.106 6.673 7.777 106.46 105.31 90.00
Sites, in units of the cell vectors:
Au 0.954 0.278 0.908
Au 0.046 0.722 0.092
Au 0.683 0.915 0.366
Au 0.604 0.460 0.208
Au 0.317 0.085 0.634
Au 0.854 0.798 0.709
Au 0.396 0.540 0.792
Au 0.146 0.202 0.291
Li 0.779 0.353 0.558
Li 0.221 0.647 0.442
Tm 0.500 0.000 0.000



(9)
Computed, not measured: crystalline KY2Sc2 at its relaxed geometry at the GGA-PBE level of DFT.

Values from the calculation:
Formation energy from the elements: 0.367 eV/atom
Electronic total energy: -4.97 eV/atom
Polymorph energy (0 for the lowest one): 0.000 eV/atom

Lattice parameters (Å, degrees): 9.879 9.879 3.454 90.00 90.00 90.00
Sites, in units of the cell vectors:
Y 0.826 0.326 0.500
Y 0.174 0.674 0.500
Y 0.674 0.826 0.500
Y 0.326 0.174 0.500
Sc 0.391 0.891 0.000
Sc 0.109 0.391 0.000
Sc 0.609 0.109 0.000
Sc 0.891 0.609 0.000
K 0.500 0.500 0.000
K 0.000 0.000 0.000



(10)
Computed, not measured: crystalline RbP2PtSe8 at its relaxed geometry at the GGA-PBE level of DFT.

Values from the calculation:
Raw formation energy: -0.211 eV per atom
Electronic total energy: -4.02 eV/atom

Lattice parameters (Å, degrees): 5.975 5.975 11.675 75.17 75.17 60.00
Sites, in units of the cell vectors:
P 0.265 0.265 0.206
P 0.735 0.735 0.794
Rb 0.500 0.500 0.500
Se 0.357 0.692 0.859
Se 0.308 0.908 0.141
Se 0.200 0.200 0.400
Se 0.908 0.643 0.141
Se 0.643 0.308 0.141
Se 0.092 0.357 0.859
Se 0.692 0.092 0.859
Se 0.800 0.800 0.600
Pt 0.000 0.000 0.000



(11)
Computed, not measured: crystalline SrYInHg at its relaxed geometry at the GGA-PBE level of DFT.

Values from the calculation:
Formation energy from the elements: -0.494 eV/atom
Electronic total energy: -3.29 eV/atom

Lattice parameters (Å, degrees): 3.834 3.834 7.978 90.00 90.00 90.00
Sites, in units of the cell vectors:
Hg 0.500 0.500 0.578
Sr 0.000 0.000 0.852
Y 0.000 0.000 0.365
In 0.500 0.500 0.133



(12)
Computed, not measured: crystalline Tb12Nd2Sc5 at its relaxed geometry at the GGA-PBE level of DFT.

Values from the calculation:
Formation energy from the elements: 0.158 eV/atom
Electronic total energy: -4.93 eV/atom

Lattice parameters (Å, degrees): 6.887 11.235 8.444 72.78 90.00 107.85
Sites, in units of the cell vectors:
Tb 0.150 0.300 0.919
Tb 0.549 0.097 0.309
Tb 0.146 0.782 0.390
Tb 0.948 0.403 0.206
Tb 0.451 0.903 0.691
Tb 0.636 0.782 0.390
Tb 0.545 0.597 0.794
Tb 0.850 0.700 0.081
Tb 0.455 0.403 0.206
Tb 0.052 0.597 0.794
Tb 0.364 0.218 0.610
Tb 0.854 0.218 0.610
Sc 0.347 0.695 0.098
Sc 0.749 0.498 0.497
Sc 0.653 0.305 0.902
Sc 0.000 0.000 0.500
Sc 0.251 0.502 0.503
Nd 0.748 0.000 0.000
Nd 0.252 0.000 0.000